First-principles (GGA-PBEsol) data for crystalline Na3CdGa at its relaxed geometry, as listed in Alexandria via LeMat-Bulk.

Structure (POSCAR):
```
Na3CdGa
1.0
5.551 0.000 0.000
0.000 5.551 0.000
0.000 0.000 5.551
Na Ga Cd
3 1 1
Direct
0.000 0.500 0.000
0.000 0.000 0.500
0.500 0.000 0.000
0.000 0.000 0.000
0.500 0.500 0.500
```

Output
Crystal system: cubic
Total DFT energy (no corrections), eV for the cell shown: -7.137
Density, kg/m³: 2437
Energy of formation, eV per atom: 0.3198